(1)
The following is a GGA-PBE calculation of a relaxed YSnPb2 crystal, from Alexandria.

Structure (extended XYZ):
```
4
Lattice="1.757 1.015 11.861 -1.757 1.015 11.861 0.000 -2.029 11.861" Properties=species:S:1:pos:R:3 pbc="T T T"
Y 0.000 0.000 0.000
Sn 0.000 0.000 17.792
Pb 0.000 0.000 3.183
Pb 0.000 0.000 32.400
```

Summary:
Space group ... R-3m
Magnetic moment ... 0.00 μB/cell
VASP energy ... -17.41 eV per cell

=====

(2)
The following is a GGA-PBE calculation of a relaxed Y8Sn5Pb crystal, from Alexandria.

Structure (extended XYZ):
```
14
Lattice="-4.660 4.660 4.661 4.660 -4.660 4.661 4.660 4.660 -4.661" Properties=species:S:1:pos:R:3 pbc="T T T"
Y 3.999 3.006 -2.836
Y 4.000 1.681 0.528
Y 0.661 1.654 1.825
Y 2.979 -0.660 4.134
Y 1.681 5.320 -0.528
Y 1.654 -0.661 7.498
Y 3.006 5.321 2.836
Y 0.660 2.979 5.189
Sn 1.168 2.330 -1.157
Sn 6.990 1.168 1.157
Sn 0.000 0.000 4.661
Sn 3.492 2.330 3.505
Sn -2.330 3.492 5.818
Pb 0.000 4.660 2.331
```

Summary:
Space group ... I-4
Magnetic moment ... 0.00 μB/cell
VASP energy ... -85.82 eV per cell

=====

(3)
The following is a GGA-PBE calculation of a relaxed YSnPb2 crystal, from Alexandria.

Structure (extended XYZ):
```
4
Lattice="4.782 0.000 0.000 0.000 4.782 0.000 0.000 0.000 4.955" Properties=species:S:1:pos:R:3 pbc="T T T"
Y 0.000 0.000 0.000
Sn 2.391 2.391 0.000
Pb 0.000 2.391 2.477
Pb 2.391 0.000 2.477
```

Summary:
Space group ... P4/mmm
Magnetic moment ... 0.00 μB/cell
VASP energy ... -19.20 eV per cell

=====

(4)
The following is a GGA-PBE calculation of a relaxed YSn2Pb2 crystal, from Alexandria.

Structure (extended XYZ):
```
10
Lattice="2.288 -13.686 0.000 2.288 13.686 0.000 0.000 0.000 4.564" Properties=species:S:1:pos:R:3 pbc="T T T"
Y 2.288 9.278 3.423
Y 2.288 -9.278 1.141
Sn 2.288 6.852 1.141
Sn 2.288 4.018 3.423
Sn 2.288 -4.018 1.141
Sn 2.288 -6.852 3.423
Pb 2.288 12.103 1.141
Pb 2.288 1.572 1.141
Pb 2.288 -1.572 3.423
Pb 2.288 -12.103 3.423
```

Summary:
Space group ... Cmcm
Magnetic moment ... 0.00 μB/cell
VASP energy ... -46.85 eV per cell

=====

(5)
The following is a GGA-PBE calculation of a relaxed Y3SnPb2 crystal, from Alexandria.

Structure (extended XYZ):
```
24
Lattice="12.996 0.000 0.000 0.000 4.548 0.000 0.000 0.000 12.023" Properties=species:S:1:pos:R:3 pbc="T T T"
Y 0.732 1.137 1.353
Y 1.673 3.411 6.757
Y 3.181 3.411 3.350
Y 3.317 1.137 9.361
Y 4.825 1.137 0.746
Y 5.766 3.411 7.364
Y 7.230 1.137 4.659
Y 8.171 3.411 11.277
Y 9.678 3.411 2.662
Y 9.815 1.137 8.673
Y 11.323 1.137 5.266
Y 12.264 3.411 10.670
Sn 1.451 1.137 4.551
Sn 5.047 3.411 10.563
Sn 7.948 1.137 1.460
Sn 11.545 3.411 7.472
Pb 0.331 1.137 8.769
Pb 2.390 3.411 0.029
Pb 4.107 1.137 6.041
Pb 6.167 3.411 2.757
Pb 6.829 1.137 9.266
Pb 8.888 3.411 5.982
Pb 10.605 1.137 11.994
Pb 12.664 3.411 3.254
```

Summary:
Space group ... Pnma
Magnetic moment ... 0.00 μB/cell
VASP energy ... -134.43 eV per cell

=====

(6)
The following is a GGA-PBE calculation of a relaxed YSnPb crystal, from Alexandria.

Structure (extended XYZ):
```
12
Lattice="17.230 0.000 0.000 0.000 4.203 0.000 0.000 0.000 4.697" Properties=species:S:1:pos:R:3 pbc="T T T"
Y 2.561 1.051 1.168
Y 6.054 3.152 3.516
Y 11.176 1.051 1.181
Y 14.669 3.152 3.530
Sn 0.040 1.051 3.522
Sn 8.575 3.152 1.173
Sn 8.655 1.051 3.524
Sn 17.190 3.152 1.176
Pb 2.860 3.152 3.516
Pb 5.755 1.051 1.168
Pb 11.474 3.152 3.530
Pb 14.370 1.051 1.181
```

Summary:
Space group ... Pnma
Magnetic moment ... 0.00 μB/cell
VASP energy ... -60.64 eV per cell